Version a
! GGA-PBE NiAs4Pt, optimized geometry; values from VASP
&SYSTEM
  ibrav = 0, nat = 6, ntyp = 3
/
ATOMIC_SPECIES
As 74.92 As.upf
Ni 58.69 Ni.upf
Pt 195.08 Pt.upf
ATOMIC_POSITIONS crystal
As 0.624 0.624 0.127
As 0.624 0.624 0.624
Ni 0.250 0.250 0.250
Pt 0.000 0.000 0.000
As 0.127 0.624 0.624
As 0.624 0.127 0.624
CELL_PARAMETERS angstrom
0.338 -1.131 5.238
-2.797 2.892 3.556
-4.185 -2.196 2.548
! Density, g/cm³: 8.40
! Space-group type: F-43m (216)

***

Version b
! GGA-PBE NiAs4Pt, optimized geometry; values from VASP
&SYSTEM
  ibrav = 0, nat = 12, ntyp = 3
/
ATOMIC_SPECIES
Pt 195.08 Pt.upf
Ni 58.69 Ni.upf
As 74.92 As.upf
ATOMIC_POSITIONS crystal
Pt 0.500 0.500 0.000
Ni 0.000 0.500 0.500
Pt 0.000 0.000 0.000
As 0.886 0.613 0.129
As 0.124 0.874 0.611
Ni 0.500 0.000 0.500
As 0.624 0.626 0.611
As 0.876 0.126 0.389
As 0.114 0.387 0.871
As 0.376 0.374 0.389
As 0.614 0.113 0.871
As 0.386 0.887 0.129
CELL_PARAMETERS angstrom
-1.283 0.148 -5.802
4.706 -3.445 -1.128
-3.388 -4.833 0.624
! Density, g/cm³: 8.77
! Space-group type: P2_1/c (14)

***

What is the stability order? It is version b, version a, from most stable to least stable.

***

Version a
! GGA-PBE NiAsPt, optimized geometry; values from VASP
&SYSTEM
  ibrav = 0, nat = 3, ntyp = 3
/
ATOMIC_SPECIES
Pt 195.08 Pt.upf
Ni 58.69 Ni.upf
As 74.92 As.upf
ATOMIC_POSITIONS crystal
Pt 0.333 0.667 0.693
Ni 0.667 0.333 0.207
As 0.000 0.000 0.099
CELL_PARAMETERS angstrom
3.986 0.000 0.000
-1.993 3.452 0.000
0.000 0.000 3.195
! Density, g/cm³: 12.42
! Space-group type: P3m1 (156)

***

Version b
! GGA-PBE NiAsPt, optimized geometry; values from VASP
&SYSTEM
  ibrav = 0, nat = 3, ntyp = 3
/
ATOMIC_SPECIES
Ni 58.69 Ni.upf
Pt 195.08 Pt.upf
As 74.92 As.upf
ATOMIC_POSITIONS crystal
Ni 0.000 0.000 0.000
Pt 0.500 0.500 0.500
As 0.750 0.750 0.750
CELL_PARAMETERS angstrom
4.063 0.000 0.000
2.032 3.519 0.000
2.032 1.173 3.318
! Density, g/cm³: 11.51
! Space-group type: F-43m (216)

***

What is the stability order? It is version b, version a, from most stable to least stable.

***

Version a
! GGA-PBE NiAsPt, optimized geometry; values from VASP
&SYSTEM
  ibrav = 0, nat = 3, ntyp = 3
/
ATOMIC_SPECIES
As 74.92 As.upf
Ni 58.69 Ni.upf
Pt 195.08 Pt.upf
ATOMIC_POSITIONS crystal
As 0.019 0.019 0.981
Ni 0.649 0.649 0.351
Pt 0.332 0.332 0.668
CELL_PARAMETERS angstrom
4.870 0.007 -0.008
3.847 2.987 0.009
1.023 0.336 2.961
! Density, g/cm³: 12.69
! Space-group type: I4mm (107)

***

Version b
! GGA-PBE NiAsPt, optimized geometry; values from VASP
&SYSTEM
  ibrav = 0, nat = 12, ntyp = 3
/
ATOMIC_SPECIES
Ni 58.69 Ni.upf
Pt 195.08 Pt.upf
As 74.92 As.upf
ATOMIC_POSITIONS crystal
Ni 0.073 0.610 0.072
Pt 0.362 0.892 0.641
Ni 0.929 0.009 0.790
As 0.854 0.609 0.803
As 0.577 0.147 0.746
Ni 0.477 0.451 0.936
As 0.883 0.892 0.218
As 0.342 0.582 0.283
Pt 0.684 0.320 0.279
Ni 0.524 0.980 0.174
Pt 0.113 0.135 0.311
Pt 0.192 0.374 0.747
CELL_PARAMETERS angstrom
6.201 0.155 0.019
0.217 5.782 0.276
2.017 2.331 5.442
! Density, g/cm³: 11.44
! Space-group type: P1 (1)

***

What is the stability order? It is version b, version a, from most stable to least stable.

***

Version a
! GGA-PBE Ni2As2Pt, optimized geometry; values from VASP
&SYSTEM
  ibrav = 0, nat = 10, ntyp = 3
/
ATOMIC_SPECIES
As 74.92 As.upf
Ni 58.69 Ni.upf
Pt 195.08 Pt.upf
ATOMIC_POSITIONS crystal
As 0.838 0.662 0.000
As 0.662 0.162 0.000
Ni 0.633 0.867 0.500
Ni 0.867 0.367 0.500
Ni 0.133 0.633 0.500
As 0.162 0.338 0.000
As 0.338 0.838 0.000
Pt 0.500 0.500 0.000
Ni 0.367 0.133 0.500
Pt 0.000 0.000 0.000
CELL_PARAMETERS angstrom
7.001 0.000 0.000
0.000 7.001 0.000
0.000 0.000 2.928
! Density, g/cm³: 10.70
! Space-group type: P4/mbm (127)

***

Version b
! GGA-PBE Ni2As2Pt, optimized geometry; values from VASP
&SYSTEM
  ibrav = 0, nat = 5, ntyp = 3
/
ATOMIC_SPECIES
As 74.92 As.upf
Ni 58.69 Ni.upf
Pt 195.08 Pt.upf
ATOMIC_POSITIONS crystal
As 0.626 0.626 0.747
As 0.374 0.374 0.253
Ni 0.750 0.250 0.500
Ni 0.250 0.750 0.500
Pt 0.000 0.000 0.000
CELL_PARAMETERS angstrom
4.065 0.000 0.000
0.000 4.065 0.000
2.033 2.033 4.606
! Density, g/cm³: 10.09
! Space-group type: I4/mmm (139)

***

What is the stability order? It is version a, version b, from most stable to least stable.

***

Version a
! GGA-PBE NiAs2PtSe, optimized geometry; values from VASP
&SYSTEM
  ibrav = 0, nat = 5, ntyp = 4
/
ATOMIC_SPECIES
As 74.92 As.upf
Se 78.96 Se.upf
Pt 195.08 Pt.upf
Ni 58.69 Ni.upf
ATOMIC_POSITIONS crystal
As 0.000 0.500 0.000
Se 0.000 0.000 0.500
Pt 0.500 0.500 0.500
As 0.500 0.000 0.000
Ni 0.000 0.000 0.000
CELL_PARAMETERS angstrom
-0.091 -2.892 -3.423
4.451 -0.453 0.265
-0.547 -3.594 3.051
! Density, g/cm³: 8.40
! Space-group type: P4/mmm (123)

***

Version b
! GGA-PBE NiAs2PtSe, optimized geometry; values from VASP
&SYSTEM
  ibrav = 0, nat = 5, ntyp = 4
/
ATOMIC_SPECIES
As 74.92 As.upf
Ni 58.69 Ni.upf
Se 78.96 Se.upf
Pt 195.08 Pt.upf
ATOMIC_POSITIONS crystal
As 0.000 0.500 0.000
Ni 0.500 0.500 0.500
Se 0.000 0.000 0.500
Pt 0.000 0.000 0.000
As 0.500 0.000 0.000
CELL_PARAMETERS angstrom
-0.809 -4.717 0.134
3.404 -0.489 3.331
-3.562 0.718 3.745
! Density, g/cm³: 6.70
! Space-group type: P4/mmm (123)

***

What is the stability order? It is version a, version b, from most stable to least stable.

***

Version a
! GGA-PBE PuNi6As4, optimized geometry; values from VASP
&SYSTEM
  ibrav = 0, nat = 11, ntyp = 3
/
ATOMIC_SPECIES
As 74.92 As.upf
Ni 58.69 Ni.upf
Pu 244.00 Pu.upf
ATOMIC_POSITIONS crystal
As 0.428 0.871 0.871
Ni 0.296 0.532 0.532
As 0.000 0.557 0.129
Pu 0.000 0.000 0.000
Ni 0.500 0.000 0.500
Ni 0.000 0.764 0.468
Ni 0.000 0.468 0.764
Ni 0.500 0.500 0.000
As 0.572 0.443 0.443
As 0.000 0.129 0.557
Ni 0.704 0.236 0.236
CELL_PARAMETERS angstrom
6.117 -0.012 -0.018
-2.839 5.418 0.018
-2.839 -1.976 5.045
! Density, g/cm³: 8.91
! Space-group type: I-42m (121)

***

Version b
! GGA-PBE PuNi6As4, optimized geometry; values from VASP
&SYSTEM
  ibrav = 0, nat = 11, ntyp = 3
/
ATOMIC_SPECIES
As 74.92 As.upf
Ni 58.69 Ni.upf
Pu 244.00 Pu.upf
ATOMIC_POSITIONS crystal
As 0.500 0.814 0.186
Ni 0.500 0.206 0.413
Ni 0.000 0.539 0.077
As 0.000 0.333 0.667
Ni 0.500 0.587 0.794
Ni 0.500 0.206 0.794
Pu 0.000 0.000 0.000
As 0.500 0.814 0.627
Ni 0.000 0.539 0.461
Ni 0.000 0.923 0.461
As 0.500 0.373 0.186
CELL_PARAMETERS angstrom
-3.417 -0.596 1.485
0.547 -6.716 -1.437
2.212 2.418 6.061
! Density, g/cm³: 9.59
! Space-group type: P-6m2 (187)

***

What is the stability order? It is version b, version a, from most stable to least stable.